Model w:
This record from the Alexandria database describes crystalline Tc3Sb at its relaxed geometry. The functional is PBEsol.

Computed properties:
Space group   Pmm2

Lattice parameters (Å, degrees): 2.9346 4.4957 4.6931 90.00 90.00 90.00
Atoms (fractional coordinates):
1 Tc 0.0000 0.0000 0.0000
2 Tc 0.0000 0.5000 0.2739
3 Tc 0.5000 0.5000 0.7995
4 Sb 0.5000 0.0000 0.4835


Model x:
This record from the Alexandria database describes crystalline Tc3Sb at its relaxed geometry. The functional is PBEsol.

Computed properties:
Space group   Cmmm

Lattice parameters (Å, degrees): 4.7864 4.7864 2.9446 90.00 90.00 113.50
Atoms (fractional coordinates):
1 Tc 0.0000 0.0000 0.0000
2 Tc 0.0000 0.5000 0.5000
3 Tc 0.5000 0.0000 0.5000
4 Sb 0.5000 0.5000 0.0000


Model y:
This record from the Alexandria database describes crystalline Tc3Sb at its relaxed geometry. The functional is PBEsol.

Computed properties:
Space group   Immm

Lattice parameters (Å, degrees): 5.1975 5.1975 5.1975 145.26 129.63 62.64
Atoms (fractional coordinates):
1 Tc 0.0000 0.0000 0.0000
2 Tc 0.2612 0.7612 0.5000
3 Tc 0.7388 0.2388 0.5000
4 Sb 0.5000 0.5000 0.0000


In kJ/mol of atoms, relative to the most stable structure: model w 1.9; model x 12.1; model y 0.0.


Model w:
This record from the Alexandria database describes crystalline Tl2TcSb at its relaxed geometry. The functional is PBEsol.

Computed properties:
Space group   C2/m

Lattice parameters (Å, degrees): 6.1705 6.1705 3.4036 105.50 105.50 124.04
Atoms (fractional coordinates):
1 Tl 0.0000 0.5000 0.0000
2 Tl 0.5000 0.0000 0.0000
3 Tc 0.0000 0.0000 0.5000
4 Sb 0.5000 0.5000 0.5000


Model x:
This record from the Alexandria database describes crystalline Tl2TcSb at its relaxed geometry. The functional is PBEsol.

Computed properties:
Space group   P4/mmm

Lattice parameters (Å, degrees): 3.1434 3.1434 9.0700 90.00 90.00 90.00
Atoms (fractional coordinates):
1 Tl 0.0000 0.0000 0.2068
2 Tl 0.0000 0.0000 0.7932
3 Tc 0.5000 0.5000 0.0000
4 Sb 0.5000 0.5000 0.5000


Model y:
This record from the Alexandria database describes crystalline Tl2TcSb at its relaxed geometry. The functional is PBEsol.

Computed properties:
Space group   Cm

Lattice parameters (Å, degrees): 4.9231 4.9231 7.0883 110.01 110.01 37.47
Atoms (fractional coordinates):
1 Tl 0.0000 0.0000 0.0000
2 Tl 0.1815 0.1815 0.7210
3 Tc 0.6339 0.6339 0.3614
4 Sb 0.3543 0.3543 0.3619


In kJ/mol of atoms, relative to the most stable structure: model w 37.9; model x 34.1; model y 0.0.


Model w:
This record from the Alexandria database describes crystalline TcSb2W at its relaxed geometry. The functional is PBEsol.

Computed properties:
Space group   P4/mmm

Lattice parameters (Å, degrees): 4.6132 4.6132 3.2510 90.00 90.00 90.00
Atoms (fractional coordinates):
1 Tc 0.0000 0.0000 0.0000
2 Sb 0.0000 0.5000 0.5000
3 Sb 0.5000 0.0000 0.5000
4 W 0.5000 0.5000 0.0000


Model x:
This record from the Alexandria database describes crystalline TcSb2W at its relaxed geometry. The functional is PBEsol.

Computed properties:
Space group   Immm

Lattice parameters (Å, degrees): 5.2798 5.2798 5.2798 143.90 119.92 72.13
Atoms (fractional coordinates):
1 Tc 0.0000 0.0000 0.0000
2 Sb 0.2437 0.7437 0.5000
3 Sb 0.7563 0.2563 0.5000
4 W 0.5000 0.5000 0.0000


In kJ/mol of atoms, relative to the most stable structure: model w 0.0; model x 40.6.


Model w:
This record from the Alexandria database describes crystalline YTcSb at its relaxed geometry. The functional is PBEsol.

Computed properties:
Space group   I4mm

Lattice parameters (Å, degrees): 5.9549 5.9549 5.9549 147.12 147.12 47.19
Atoms (fractional coordinates):
1 Y 0.0000 0.0000 0.0000
2 Tc 0.3244 0.3244 0.0000
3 Sb 0.7076 0.7076 0.0000


Model x:
This record from the Alexandria database describes crystalline YTcSb at its relaxed geometry. The functional is PBEsol.

Computed properties:
Space group   F-43m

Lattice parameters (Å, degrees): 4.6431 4.6431 4.6431 60.00 60.00 60.00
Atoms (fractional coordinates):
1 Y 0.0000 0.0000 0.0000
2 Tc 0.5000 0.5000 0.5000
3 Sb 0.2500 0.2500 0.2500


In kJ/mol of atoms, relative to the most stable structure: model w 0.0; model x 40.4.


Model w:
This record from the Alexandria database describes crystalline SbTe2 at its relaxed geometry. The functional is PBEsol.

Computed properties:
Space group   P-3m1

Lattice parameters (Å, degrees): 4.3281 4.3281 5.6684 90.00 90.00 120.00
Atoms (fractional coordinates):
1 Sb 0.0000 0.0000 0.0000
2 Te 0.3333 0.6667 0.3134
3 Te 0.6667 0.3333 0.6866


Model x:
This record from the Alexandria database describes crystalline SbTe2 at its relaxed geometry. The functional is PBEsol.

Computed properties:
Space group   Imma

Lattice parameters (Å, degrees): 12.5102 12.5102 12.5102 162.43 161.95 25.29
Atoms (fractional coordinates):
1 Sb 0.3663 0.1163 0.2500
2 Sb 0.6337 0.8837 0.7500
3 Te 0.0448 0.2948 0.7500
4 Te 0.1903 0.4403 0.7500
5 Te 0.8097 0.5597 0.2500
6 Te 0.9552 0.7052 0.2500


In kJ/mol of atoms, relative to the most stable structure: model w 0.0; model x 16.8.


Model w:
This record from the Alexandria database describes crystalline Sb3Te at its relaxed geometry. The functional is PBEsol.

Computed properties:
Space group   Pmm2

Lattice parameters (Å, degrees): 4.3764 6.1605 4.3767 90.00 90.00 90.00
Atoms (fractional coordinates):
1 Sb 0.0000 0.0000 0.0000
2 Sb 0.0000 0.5000 0.0010
3 Sb 0.5000 0.0000 0.4989
4 Te 0.5000 0.5000 0.5009


Model x:
This record from the Alexandria database describes crystalline Sb3Te at its relaxed geometry. The functional is PBEsol.

Computed properties:
Space group   R-3m

Lattice parameters (Å, degrees): 7.5902 7.5902 7.5902 33.36 33.36 33.36
Atoms (fractional coordinates):
1 Sb 0.0000 0.0000 0.0000
2 Sb 0.2529 0.2529 0.2529
3 Sb 0.7471 0.7471 0.7471
4 Te 0.5000 0.5000 0.5000


In kJ/mol of atoms, relative to the most stable structure: model w 0.7; model x 0.0.


Model w:
This record from the Alexandria database describes crystalline Y2SbTe at its relaxed geometry. The functional is PBEsol.

Computed properties:
Space group   P4/mmm

Lattice parameters (Å, degrees): 4.3114 4.3114 6.0837 90.00 90.00 90.00
Atoms (fractional coordinates):
1 Y 0.0000 0.0000 0.0000
2 Y 0.5000 0.5000 0.5000
3 Sb 0.0000 0.0000 0.5000
4 Te 0.5000 0.5000 0.0000


Model x:
This record from the Alexandria database describes crystalline Y2SbTe at its relaxed geometry. The functional is PBEsol.

Computed properties:
Space group   F-43m

Lattice parameters (Å, degrees): 5.2853 5.2853 5.2853 60.00 60.00 60.00
Atoms (fractional coordinates):
1 Y 0.0000 0.0000 0.0000
2 Y 0.2500 0.2500 0.2500
3 Sb 0.7500 0.7500 0.7500
4 Te 0.5000 0.5000 0.5000


Model y:
This record from the Alexandria database describes crystalline Y2SbTe at its relaxed geometry. The functional is PBEsol.

Computed properties:
Space group   P4/mmm

Lattice parameters (Å, degrees): 3.7351 3.7351 7.5285 90.00 90.00 90.00
Atoms (fractional coordinates):
1 Y 0.0000 0.0000 0.2426
2 Y 0.0000 0.0000 0.7574
3 Sb 0.5000 0.5000 0.0000
4 Te 0.5000 0.5000 0.5000


In kJ/mol of atoms, relative to the most stable structure: model w 0.0; model x 88.5; model y 25.8.


Model w:
This record from the Alexandria database describes crystalline ZnSb2Te at its relaxed geometry. The functional is PBEsol.

Computed properties:
Space group   P4/mmm

Lattice parameters (Å, degrees): 3.3168 3.3168 8.8339 90.00 90.00 90.00
Atoms (fractional coordinates):
1 Zn 0.0000 0.0000 0.0000
2 Sb 0.5000 0.5000 0.1919
3 Sb 0.5000 0.5000 0.8081
4 Te 0.0000 0.0000 0.5000


Model x:
This record from the Alexandria database describes crystalline ZnSb2Te at its relaxed geometry. The functional is PBEsol.

Computed properties:
Space group   P4/mmm

Lattice parameters (Å, degrees): 4.1980 4.1980 5.9497 90.00 90.00 90.00
Atoms (fractional coordinates):
1 Zn 0.0000 0.0000 0.0000
2 Sb 0.0000 0.0000 0.5000
3 Sb 0.5000 0.5000 0.5000
4 Te 0.5000 0.5000 0.0000


In kJ/mol of atoms, relative to the most stable structure: model w 16.8; model x 0.0.


Model w:
This record from the Alexandria database describes crystalline TlSb3 at its relaxed geometry. The functional is PBEsol.

Computed properties:
Space group   Cmcm

Lattice parameters (Å, degrees): 6.2578 6.2578 5.9513 90.00 90.00 87.29
Atoms (fractional coordinates):
1 Tl 0.0833 0.9167 0.7500
2 Tl 0.9167 0.0833 0.2500
3 Sb 0.0018 0.4328 0.7500
4 Sb 0.4328 0.0018 0.2500
5 Sb 0.4690 0.5310 0.2500
6 Sb 0.5310 0.4690 0.7500
7 Sb 0.5672 0.9982 0.7500
8 Sb 0.9982 0.5672 0.2500


Model x:
This record from the Alexandria database describes crystalline TlSb3 at its relaxed geometry. The functional is PBEsol.

Computed properties:
Space group   Pmmm

Lattice parameters (Å, degrees): 3.1991 5.5397 6.2845 90.00 90.00 90.00
Atoms (fractional coordinates):
1 Tl 0.0000 0.0000 0.0000
2 Sb 0.5000 0.0000 0.5000
3 Sb 0.5000 0.5000 0.2512
4 Sb 0.5000 0.5000 0.7488


In kJ/mol of atoms, relative to the most stable structure: model w 2.8; model x 0.0.


Model w:
This record from the Alexandria database describes crystalline TlZn2Sb2 at its relaxed geometry. The functional is PBEsol.

Computed properties:
Space group   I4/mmm

Lattice parameters (Å, degrees): 8.2551 8.2551 8.2551 152.06 152.06 39.92
Atoms (fractional coordinates):
1 Tl 0.0000 0.0000 0.0000
2 Zn 0.2500 0.7500 0.5000
3 Zn 0.7500 0.2500 0.5000
4 Sb 0.3693 0.3693 0.0000
5 Sb 0.6307 0.6307 0.0000


Model x:
This record from the Alexandria database describes crystalline TlZn2Sb2 at its relaxed geometry. The functional is PBEsol.

Computed properties:
Space group   I4cm

Lattice parameters (Å, degrees): 6.9288 6.9288 6.9288 106.20 106.20 116.24
Atoms (fractional coordinates):
1 Tl 0.0000 0.0000 0.0000
2 Tl 0.5000 0.5000 0.0000
3 Zn 0.0125 0.2321 0.5000
4 Zn 0.2321 0.7321 0.2196
5 Zn 0.5125 0.0125 0.7804
6 Zn 0.7321 0.5125 0.5000
7 Sb 0.0727 0.8833 0.5000
8 Sb 0.3833 0.5727 0.5000
9 Sb 0.5727 0.0727 0.1894
10 Sb 0.8833 0.3833 0.8106


In kJ/mol of atoms, relative to the most stable structure: model w 0.0; model x 1.3.


Model w:
This record from the Alexandria database describes crystalline TlZnSb2 at its relaxed geometry. The functional is PBEsol.

Computed properties:
Space group   Cm

Lattice parameters (Å, degrees): 4.1835 4.1835 7.9580 96.62 96.62 45.99
Atoms (fractional coordinates):
1 Tl 0.0000 0.0000 0.0000
2 Zn 0.7438 0.7438 0.2329
3 Sb 0.2476 0.2476 0.7131
4 Sb 0.4789 0.4789 0.4407


Model x:
This record from the Alexandria database describes crystalline TlZnSb2 at its relaxed geometry. The functional is PBEsol.

Computed properties:
Space group   P4mm

Lattice parameters (Å, degrees): 3.3354 3.3354 8.7247 90.00 90.00 90.00
Atoms (fractional coordinates):
1 Tl 0.0000 0.0000 0.0000
2 Zn 0.5000 0.5000 0.2322
3 Sb 0.0000 0.0000 0.4390
4 Sb 0.5000 0.5000 0.7111


In kJ/mol of atoms, relative to the most stable structure: model w 0.0; model x 6.3.


Model w:
This record from the Alexandria database describes crystalline TlZnSb2 at its relaxed geometry. The functional is PBEsol.

Computed properties:
Space group   I-42d

Lattice parameters (Å, degrees): 7.7756 7.7756 7.7756 132.65 132.65 69.21
Atoms (fractional coordinates):
1 Tl 0.0000 0.0000 0.0000
2 Tl 0.7500 0.2500 0.5000
3 Zn 0.2500 0.7500 0.5000
4 Zn 0.5000 0.5000 0.0000
5 Sb 0.1614 0.6250 0.0364
6 Sb 0.3750 0.4114 0.5364
7 Sb 0.5886 0.1250 0.9636
8 Sb 0.8750 0.8386 0.4636


Model x:
This record from the Alexandria database describes crystalline TlZnSb2 at its relaxed geometry. The functional is PBEsol.

Computed properties:
Space group   Pmmm

Lattice parameters (Å, degrees): 3.8906 4.9388 5.1347 90.00 90.00 90.00
Atoms (fractional coordinates):
1 Tl 0.0000 0.0000 0.0000
2 Zn 0.5000 0.5000 0.0000
3 Sb 0.0000 0.5000 0.5000
4 Sb 0.5000 0.0000 0.5000


In kJ/mol of atoms, relative to the most stable structure: model w 0.0; model x 4.6.